Rb2NiAsF6: optimized geometry, PBE+U.

Cell: 5.926 5.926 6.335 Å, 62.11 62.11 90.00°
Site moments in Bohr magnetons follow the coordinates.
Atoms (fractional coordinates):
Ni: 0.500 0.500 0.000  0.98
As: 0.000 0.000 0.000  0.01
Rb: 0.750 0.250 0.500  0.00
Rb: 0.250 0.750 0.500  0.00
F: 0.216 0.216 0.568  0.00
F: 0.784 0.784 0.432  0.00
F: 0.249 0.249 0.000  0.00
F: 0.751 0.751 0.000  0.00
F: 0.751 0.249 0.000  0.00
F: 0.249 0.751 0.000  0.00

Values from the calculation:
The space group is I4/mmm (139). The total energy comes out at -42.11 eV per cell.